Entry 1:
The following is a GGA-PBE calculation of an optimized crystal structure of KMgIr, from Alexandria.

The structure in POSCAR format:
```
KMgIr
1.0
0.000 2.487 8.082
1.597 0.000 8.082
1.597 2.487 0.000
K Mg Ir
1 1 1
direct
0.000 0.000 0.000
0.288 0.288 0.712
0.662 0.662 0.338
```

Results
Total energy in eV/atom: -3.398
Size of the total moment in μB/f.u.: 0.00
Space group: Fmm2 (42)
Polymorph energy (0 for the lowest one) in kJ per mole of atoms: 20.3
Calculated density in g cm⁻³: 6.6
Calculated formation energy in eV/atom: 0.453



Entry 2:
The following is a GGA-PBE calculation of an optimized crystal structure of Tl2ZnSi, from Alexandria.

The structure in POSCAR format:
```
Tl2ZnSi
1.0
3.709 -3.717 0.000
3.709 3.717 0.000
0.000 0.000 3.419
Tl Zn Si
2 1 1
direct
0.000 0.500 0.000
0.500 0.000 0.000
0.000 0.000 0.500
0.500 0.500 0.500
```

Results
Total energy in eV/atom: -2.444
Size of the total moment in μB/f.u.: 0.00
Space group: Cmmm (65)
Polymorph energy (0 for the lowest one) in kJ per mole of atoms: 24.5
ΔE_f (raw) in eV per atom: 0.414
Calculated density in g cm⁻³: 8.8



Entry 3:
The following is a GGA-PBE calculation of an optimized crystal structure of Rb2Tl3Hg2, from Alexandria.

The structure in POSCAR format:
```
Rb2Tl3Hg2
1.0
6.418 -2.298 0.000
6.418 2.298 0.000
-1.525 0.000 8.774
Rb Tl Hg
2 3 2
direct
0.128 0.128 0.331
0.872 0.872 0.669
0.183 0.183 0.891
0.500 0.500 0.000
0.817 0.817 0.109
0.411 0.411 0.348
0.589 0.589 0.652
```

Results
Total energy in eV/atom: -1.499
Size of the total moment in μB/f.u.: 0.00
Space group: C2/m (12)
Polymorph energy (0 for the lowest one) in kJ per mole of atoms: 0.6
Calculated density in g cm⁻³: 7.6
Calculated formation energy in eV/atom: -0.122



Entry 4:
The following is a GGA-PBE calculation of an optimized crystal structure of Y3BiC, from Alexandria.

The structure in POSCAR format:
```
Y3BiC
1.0
5.956 -6.772 0.000
5.956 6.772 0.000
-0.441 0.000 6.325
Y Bi C
12 4 4
direct
0.057 0.738 0.923
0.192 0.578 0.410
0.262 0.943 0.577
0.316 0.456 0.904
0.422 0.808 0.090
0.456 0.316 0.404
0.544 0.684 0.596
0.578 0.192 0.910
0.684 0.544 0.096
0.738 0.057 0.423
0.808 0.422 0.590
0.943 0.262 0.077
0.087 0.243 0.559
0.243 0.087 0.059
0.757 0.913 0.941
0.913 0.757 0.441
0.292 0.708 0.750
0.436 0.564 0.250
0.564 0.436 0.750
0.708 0.292 0.250
```

Results
Total energy in eV/atom: -7.007
Size of the total moment in μB/f.u.: 0.18
Space group: C2/c (15)
Polymorph energy (0 for the lowest one) in kJ per mole of atoms: 6.5
Calculated density in g cm⁻³: 6.3
Calculated formation energy in eV/atom: -0.508